Crystalline TcHgTe2I at its relaxed geometry. Source: Alexandria, functional PBE.

Results
ΔE to the lowest computed polymorph: 0.000 eV/atom
energy relative to the elements, uncorrected: 0.34 eV per atom
electronic total energy: -3.36 eV/atom

Lattice parameters (Å, degrees): 5.1728 5.1728 5.8763 90.00 90.00 90.00
Positions (direct):
I1 0.0000 0.0000 0.5000
Te1 0.0000 0.5000 0.0000
Tc1 0.0000 0.0000 0.0000
Te2 0.5000 0.0000 0.0000
Hg1 0.5000 0.5000 0.5000